No. 1
# NdZnAg3 GGA-PBE relaxed
# Volume (Å³/f.u.): 106.9
# Calculated formation energy (eV per atom): -0.17
# Polymorph energy (0 for the lowest one) (meV per atom): 49
# D(E_F) (states/eV per atom): 0.4337
data_NdZnAg3
_cell_length_a 3.9649
_cell_length_b 4.4069
_cell_length_c 6.7931
_cell_angle_alpha 108.87
_cell_angle_beta 106.89
_cell_angle_gamma 90.08
_space_group_name_H-M_alt 'P 1'
_space_group_IT_number 1
loop_
_space_group_symop_operation_xyz
'x,y,z'
loop_
_atom_site_label
_atom_site_fract_x
_atom_site_fract_y
_atom_site_fract_z
_atom_site_occupancy
Nd1 0.0000 0.0000 0.0000 1
Zn1 0.3932 0.3936 0.7891 1
Ag1 0.2735 0.7730 0.5465 1
Ag2 0.6072 0.6068 0.2120 1
Ag3 0.7498 0.2505 0.5001 1

***

No. 2
# Tb6Y2Er GGA-PBE relaxed
# Volume (Å³/f.u.): 286.4
# Calculated formation energy (eV per atom): 0.02
# D(E_F) (states/eV per atom): 1.4002
data_Tb6Y2Er
_cell_length_a 3.5610
_cell_length_b 8.7076
_cell_length_c 9.4052
_cell_angle_alpha 90.04
_cell_angle_beta 100.84
_cell_angle_gamma 90.07
_space_group_name_H-M_alt 'P -1'
_space_group_IT_number 2
loop_
_space_group_symop_operation_xyz
'x,y,z'
'-x,-y,-z'
loop_
_atom_site_label
_atom_site_fract_x
_atom_site_fract_y
_atom_site_fract_z
_atom_site_occupancy
Tb1 0.1123 0.1683 0.2228 1
Tb2 0.2222 0.8334 0.4450 1
Tb3 0.3334 0.4996 0.6676 1
Y1 0.4445 0.1671 0.8892 1
Er1 0.0000 0.5000 0.0000 1

***

No. 3
# TcHOsAuN GGA-PBE relaxed
# Volume (Å³/f.u.): 65.7
# Polymorph energy (0 for the lowest one) (meV per atom): 99
# D(E_F) (states/eV per atom): 0.7825
data_TcHOsAuN
_cell_length_a 9.5999
_cell_length_b 2.8033
_cell_length_c 4.9521
_cell_angle_alpha 90.00
_cell_angle_beta 99.82
_cell_angle_gamma 90.00
_space_group_name_H-M_alt 'C 1 m 1'
_space_group_IT_number 8
loop_
_space_group_symop_operation_xyz
'x,y,z'
'x,-y,z'
'x+1/2,y+1/2,z'
'x+1/2,-y+1/2,z'
loop_
_atom_site_label
_atom_site_fract_x
_atom_site_fract_y
_atom_site_fract_z
_atom_site_occupancy
Tc1 0.0000 0.0000 0.0000 1
H1 0.1019 0.0000 0.6558 1
Os1 0.0013 0.5000 0.4584 1
Au1 0.2477 0.5000 0.2296 1
N1 0.4001 0.0000 0.7650 1

***

No. 4
# PmErTh2 GGA-PBE relaxed
# Volume (Å³/f.u.): 129.1
# Calculated formation energy (eV per atom): 0.05
# Polymorph energy (0 for the lowest one) (meV per atom): 17
# D(E_F) (states/eV per atom): 1.4387
data_PmErTh2
_cell_length_a 3.5716
_cell_length_b 3.5716
_cell_length_c 35.0609
_cell_angle_alpha 90.00
_cell_angle_beta 90.00
_cell_angle_gamma 120.00
_space_group_name_H-M_alt 'R 3 m'
_space_group_IT_number 160
_space_group_name_Hall 'R 3 -2"'
loop_
_atom_site_label
_atom_site_fract_x
_atom_site_fract_y
_atom_site_fract_z
_atom_site_occupancy
Pm1 0.0000 0.0000 0.0000 1
Er1 0.0000 0.0000 0.8302 1
Th1 0.0000 0.0000 0.2468 1
Th2 0.0000 0.0000 0.4162 1

***

No. 5
# KLi2Ti GGA-PBE relaxed
# Volume (Å³/f.u.): 115.7
# Calculated formation energy (eV per atom): 0.78
# Polymorph energy (0 for the lowest one) (meV per atom): 0
# D(E_F) (states/eV per atom): 1.2958
data_KLi2Ti
_cell_length_a 7.7357
_cell_length_b 7.7357
_cell_length_c 7.7357
_cell_angle_alpha 90.00
_cell_angle_beta 90.00
_cell_angle_gamma 90.00
_space_group_name_H-M_alt 'F m -3 m'
_space_group_IT_number 225
_space_group_name_Hall '-F 4 2 3'
loop_
_atom_site_label
_atom_site_fract_x
_atom_site_fract_y
_atom_site_fract_z
_atom_site_occupancy
K1 0.0000 0.0000 0.0000 1
Li1 0.2500 0.2500 0.2500 1
Ti1 0.0000 0.0000 0.5000 1

***

No. 6
# Ti2Mn2Pb GGA-PBE relaxed
# Volume (Å³/f.u.): 86.0
# Calculated formation energy (eV per atom): 0.26
# Polymorph energy (0 for the lowest one) (meV per atom): 152
# D(E_F) (states/eV per atom): 1.4278
data_Ti2Mn2Pb
_cell_length_a 3.2011
_cell_length_b 3.2011
_cell_length_c 16.7823
_cell_angle_alpha 90.00
_cell_angle_beta 90.00
_cell_angle_gamma 90.00
_space_group_name_H-M_alt 'I 4/m m m'
_space_group_IT_number 139
_space_group_name_Hall '-I 4 2'
loop_
_atom_site_label
_atom_site_fract_x
_atom_site_fract_y
_atom_site_fract_z
_atom_site_occupancy
Ti1 0.0000 0.0000 0.1274 1
Mn1 0.0000 0.5000 0.2500 1
Pb1 0.0000 0.0000 0.5000 1

***

No. 7
# NiPb GGA-PBE relaxed
# Volume (Å³/f.u.): 42.4
# Calculated formation energy (eV per atom): 0.61
# D(E_F) (states/eV per atom): 0.9170
data_NiPb
_cell_length_a 5.1210
_cell_length_b 5.1210
_cell_length_c 7.4595
_cell_angle_alpha 90.00
_cell_angle_beta 90.00
_cell_angle_gamma 120.00
_space_group_name_H-M_alt 'P 63/m m c'
_space_group_IT_number 194
_space_group_name_Hall '-P 6c 2c'
loop_
_atom_site_label
_atom_site_fract_x
_atom_site_fract_y
_atom_site_fract_z
_atom_site_occupancy
Ni1 0.3333 0.6667 0.0916 1
Pb1 0.0000 0.0000 0.2500 1
Pb2 0.3333 0.6667 0.7500 1

***

No. 8
# Y2SnS GGA-PBE relaxed
# Volume (Å³/f.u.): 100.0
# Polymorph energy (0 for the lowest one) (meV per atom): 0
# D(E_F) (states/eV per atom): 0.5063
# Uncorrected formation energy (meV/atom): -1317
data_Y2SnS
_cell_length_a 3.8830
_cell_length_b 3.8830
_cell_length_c 22.9728
_cell_angle_alpha 90.00
_cell_angle_beta 90.00
_cell_angle_gamma 120.00
_space_group_name_H-M_alt 'R -3 m'
_space_group_IT_number 166
_space_group_name_Hall '-R 3 2"'
loop_
_atom_site_label
_atom_site_fract_x
_atom_site_fract_y
_atom_site_fract_z
_atom_site_occupancy
Y1 0.0000 0.0000 0.2357 1
Sn1 0.0000 0.0000 0.0000 1
S1 0.0000 0.0000 0.5000 1

***

No. 9
# HfTe2I GGA-PBE relaxed
# Volume (Å³/f.u.): 137.3
# Polymorph energy (0 for the lowest one) (meV per atom): 0
# D(E_F) (states/eV per atom): 0.7083
# Uncorrected formation energy (meV/atom): -487
data_HfTe2I
_cell_length_a 4.0801
_cell_length_b 4.0801
_cell_length_c 28.5803
_cell_angle_alpha 90.00
_cell_angle_beta 90.00
_cell_angle_gamma 120.00
_space_group_name_H-M_alt 'R -3 m'
_space_group_IT_number 166
_space_group_name_Hall '-R 3 2"'
loop_
_atom_site_label
_atom_site_fract_x
_atom_site_fract_y
_atom_site_fract_z
_atom_site_occupancy
Hf1 0.0000 0.0000 0.0000 1
Te1 0.0000 0.0000 0.3927 1
I1 0.0000 0.0000 0.5000 1

***

No. 10
# LiSi3Pb GGA-PBE relaxed
# Volume (Å³/f.u.): 99.8
# Polymorph energy (0 for the lowest one) (meV per atom): 0
# D(E_F) (states/eV per atom): 0.7001
# Uncorrected formation energy (meV/atom): 736
data_LiSi3Pb
_cell_length_a 4.6388
_cell_length_b 4.6388
_cell_length_c 4.6388
_cell_angle_alpha 90.00
_cell_angle_beta 90.00
_cell_angle_gamma 90.00
_space_group_name_H-M_alt 'P m -3 m'
_space_group_IT_number 221
_space_group_name_Hall '-P 4 2 3'
loop_
_atom_site_label
_atom_site_fract_x
_atom_site_fract_y
_atom_site_fract_z
_atom_site_occupancy
Li1 0.0000 0.0000 0.0000 1
Si1 0.0000 0.0000 0.5000 1
Pb1 0.5000 0.5000 0.5000 1

***

No. 11
# TiV5H6 GGA-PBE relaxed
# Volume (Å³/f.u.): 96.5
# Electronic total energy (eV/atom): -6.34
# D(E_F) (states/eV per atom): 0.1867
data_TiV5H6
_cell_length_a 4.6216
_cell_length_b 9.1033
_cell_length_c 4.6202
_cell_angle_alpha 90.00
_cell_angle_beta 96.70
_cell_angle_gamma 90.00
_space_group_name_H-M_alt 'C 1 2/m 1'
_space_group_IT_number 12
loop_
_space_group_symop_operation_xyz
'x,y,z'
'-x,-y,-z'
'-x,y,-z'
'x,-y,z'
'x+1/2,y+1/2,z'
'-x+1/2,-y+1/2,-z'
'-x+1/2,y+1/2,-z'
'x+1/2,-y+1/2,z'
loop_
_atom_site_label
_atom_site_fract_x
_atom_site_fract_y
_atom_site_fract_z
_atom_site_occupancy
Ti1 0.0000 0.0000 0.0000 1
V1 0.0000 0.1682 0.5000 1
V2 0.0000 0.3304 0.0000 1
V3 0.0000 0.5000 0.5000 1
H1 0.1635 0.5000 0.1760 1
H2 0.1860 0.3366 0.6858 1

***

No. 12
# InGeOsW2 GGA-PBE relaxed
# Volume (Å³/f.u.): 117.5
# Calculated formation energy (eV per atom): 1.63
# D(E_F) (states/eV per atom): 1.0939
data_InGeOsW2
_cell_length_a 4.8259
_cell_length_b 4.8259
_cell_length_c 5.0473
_cell_angle_alpha 90.00
_cell_angle_beta 90.00
_cell_angle_gamma 90.00
_space_group_name_H-M_alt 'P 4/m m m'
_space_group_IT_number 123
_space_group_name_Hall '-P 4 2'
loop_
_atom_site_label
_atom_site_fract_x
_atom_site_fract_y
_atom_site_fract_z
_atom_site_occupancy
In1 0.0000 0.0000 0.0000 1
Ge1 0.5000 0.5000 0.0000 1
Os1 0.0000 0.0000 0.5000 1
W1 0.0000 0.5000 0.5000 1